Below is crystalline SrDyHo at its relaxed geometry, with properties calculated at the PBE level.

Geometry as POSCAR:
```
SrDyHo
1.0
0.0000 4.0507 4.0507
4.0507 0.0000 4.0507
4.0507 4.0507 0.0000
Sr Ho Dy
1 1 1
direct
0.7500 0.7500 0.7500
0.0000 0.0000 0.0000
0.2500 0.2500 0.2500
```

E = -2.80 eV/atom
Crystal system = cubic